## CaHo4Mg5 (PBE)

Data for crystalline CaHo4Mg5 at its relaxed geometry.

The magnetization comes out at 0.000 μB/cell. The value obtained for the formation energy from the elements is -0.07 eV per atom.

The structure belongs to space group P4/mmm (No. 123); the cell edges are 3.8030, 3.8030 and 19.1787 Å and the angles 90.00°, 90.00° and 90.00°. The inequivalent atoms are Ca at (0.0000, 0.0000, 0.0000), Ho at (0.0000, 0.0000, 0.2102), Ho at (0.0000, 0.0000, 0.4029), Mg at (0.5000, 0.5000, 0.1108), Mg at (0.5000, 0.5000, 0.3061) and Mg at (0.5000, 0.5000, 0.5000).